Compound: GdDy2Al2Cd4
Source: OQMD
Functional: PBE-GGA
Structure: relaxed

Properties
total magnetic moment: 0.012 μB/cell
density: 7736 kg/m³
energy: -28.4 eV/cell
space group: Amm2 (38)

Cell lengths 4.5410, 7.3412, 7.3412 Å; angles 120.15, 90.00, 90.00 degrees
Last column: nearest neighbours and their distance in Å.
Positions (direct):
Al  0.5000  0.3323  0.6668  3 Cd 2.78-2.79
Gd  0.0000  0.5716  0.5716  3 Cd 3.15-3.26, 4 Al 3.16
Cd  0.0000  0.0018  0.0018  6 Cd 2.92-2.93, 2 Dy 3.14, 1 Gd 3.15
Cd  0.5000  0.0000  0.7476  2 Al 2.78-2.79, 2 Cd 2.93
Al  0.5000  0.6668  0.3323  3 Cd 2.78-2.79
Dy  0.0000  0.9994  0.4282  3 Cd 3.14-3.26, 4 Al 3.14-3.15
Dy  0.0000  0.4282  0.9994  3 Cd 3.14-3.26, 4 Al 3.14-3.15
Cd  0.5000  0.7476  0.0000  2 Al 2.78-2.79, 2 Cd 2.93
Cd  0.5000  0.2522  0.2522  2 Al 2.79, 2 Cd 2.92